1.
A geometry-optimized CaAs2Ir structure, computed with GGA-PBEsol.

Summary:
VASP energy = -5.565 eV per atom

```
data_CaAs2Ir
_chemical_formula_sum 'Ca3 As6 Ir3'
_cell_length_a 3.3780
_cell_length_b 3.3780
_cell_length_c 24.6812
_cell_angle_alpha 90.00
_cell_angle_beta 90.00
_cell_angle_gamma 120.00
_space_group_name_H-M_alt 'R 3 m'
_space_group_IT_number 160
_space_group_name_Hall 'R 3 -2"'
loop_
_atom_site_label
_atom_site_fract_x
_atom_site_fract_y
_atom_site_fract_z
Ca1 0.0000 0.0000 0.0000
As1 0.0000 0.0000 0.2406
As2 0.0000 0.0000 0.4839
Ir1 0.0000 0.0000 0.7602
```


2.
A geometry-optimized Pd3RhSe structure, computed with GGA-PBEsol.

Summary:
VASP energy = -4.740 eV per atom
formation energy (no corrections) = 1233 meV/atom

```
data_Pd3RhSe
_chemical_formula_sum 'Pd3 Rh1 Se1'
_cell_length_a 4.6910
_cell_length_b 4.6910
_cell_length_c 4.6910
_cell_angle_alpha 90.00
_cell_angle_beta 90.00
_cell_angle_gamma 90.00
_space_group_name_H-M_alt 'P m -3 m'
_space_group_IT_number 221
_space_group_name_Hall '-P 4 2 3'
loop_
_atom_site_label
_atom_site_fract_x
_atom_site_fract_y
_atom_site_fract_z
Pd1 0.0000 0.0000 0.5000
Rh1 0.0000 0.0000 0.0000
Se1 0.5000 0.5000 0.5000
```


3.
A geometry-optimized Ba2Er2Zn8O13 structure, computed with GGA-PBEsol.

Summary:
VASP energy = -5.822 eV per atom
formation energy (no corrections) = -2021 meV/atom

```
data_Ba2Er2Zn8O13
_chemical_formula_sum 'Ba4 Er4 Zn16 O26'
_cell_length_a 11.0234
_cell_length_b 6.2881
_cell_length_c 10.3987
_cell_angle_alpha 90.00
_cell_angle_beta 90.38
_cell_angle_gamma 90.00
_space_group_name_H-M_alt 'C 1 m 1'
_space_group_IT_number 8
_space_group_name_Hall 'C -2y'
loop_
_atom_site_label
_atom_site_fract_x
_atom_site_fract_y
_atom_site_fract_z
Ba1 0.0000 0.0000 0.0000
Ba2 0.2032 0.5000 0.5683
Er1 0.0191 0.0000 0.6492
Er2 0.1651 0.5000 0.1302
Zn1 0.0148 0.5000 0.8268
Zn2 0.1857 0.0000 0.3328
Zn3 0.2648 0.2540 0.8457
Zn4 0.3368 0.0000 0.5875
Zn5 0.3505 0.0000 0.0881
Zn6 0.4617 0.2197 0.3571
O1 0.0144 0.5000 0.0135
O2 0.0983 0.2430 0.2572
O3 0.1024 0.2489 0.7695
O4 0.1724 0.0000 0.5182
O5 0.2823 0.2688 0.0329
O6 0.3448 0.0000 0.7750
O7 0.3537 0.5000 0.7751
O8 0.3570 0.0000 0.2787
O9 0.4133 0.2652 0.5251
```


4.
A geometry-optimized YIr2Br2 structure, computed with GGA-PBEsol.

Summary:
VASP energy = -5.885 eV per atom
formation energy (no corrections) = 157 meV/atom

```
data_YIr2Br2
_chemical_formula_sum 'Y2 Ir4 Br4'
_cell_length_a 4.2374
_cell_length_b 4.2374
_cell_length_c 11.4479
_cell_angle_alpha 90.00
_cell_angle_beta 90.00
_cell_angle_gamma 90.00
_space_group_name_H-M_alt 'I 4/m m m'
_space_group_IT_number 139
_space_group_name_Hall '-I 4 2'
loop_
_atom_site_label
_atom_site_fract_x
_atom_site_fract_y
_atom_site_fract_z
Y1 0.0000 0.0000 0.0000
Ir1 0.0000 0.0000 0.3965
Br1 0.0000 0.5000 0.2500
```


5.
A geometry-optimized BeFeAu2 structure, computed with GGA-PBEsol.

Summary:
VASP energy = -4.973 eV per atom

```
data_BeFeAu2
_chemical_formula_sum 'Be4 Fe4 Au8'
_cell_length_a 6.0802
_cell_length_b 6.0802
_cell_length_c 6.0802
_cell_angle_alpha 90.00
_cell_angle_beta 90.00
_cell_angle_gamma 90.00
_space_group_name_H-M_alt 'F -4 3 m'
_space_group_IT_number 216
_space_group_name_Hall 'F -4 2 3'
loop_
_atom_site_label
_atom_site_fract_x
_atom_site_fract_y
_atom_site_fract_z
Be1 0.0000 0.0000 0.0000
Fe1 0.2500 0.2500 0.2500
Au1 0.0000 0.0000 0.5000
Au2 0.2500 0.2500 0.7500
```


6.
A geometry-optimized Be3Pt structure, computed with GGA-PBEsol.

Summary:
VASP energy = -5.236 eV per atom

```
data_Be3Pt
_chemical_formula_sum 'Be6 Pt2'
_cell_length_a 3.8721
_cell_length_b 4.7757
_cell_length_c 4.2526
_cell_angle_alpha 90.00
_cell_angle_beta 90.00
_cell_angle_gamma 90.00
_space_group_name_H-M_alt 'P m m n'
_space_group_IT_number 59
loop_
_space_group_symop_operation_xyz
'x,y,z'
'-x,-y,-z'
'-x+1/2,-y+1/2,z'
'x+1/2,y+1/2,-z'
'x+1/2,-y,-z'
'-x+1/2,y,z'
'-x,y+1/2,-z'
'x,-y+1/2,z'
loop_
_atom_site_label
_atom_site_fract_x
_atom_site_fract_y
_atom_site_fract_z
Be1 0.2500 0.0073 0.1605
Be2 0.2500 0.7500 0.6533
Pt1 0.2500 0.2500 0.6702
```